(1)
Material: Li2DyPt
Method: DFT, PBE
State: relaxed

a b c (Å): 4.007 3.990 5.084
angles (deg): 90.00 90.00 92.75
Sites, in units of the cell vectors:
Li 0.050 0.949 0.000
Pt 0.250 0.750 0.500
Li 0.450 0.551 0.000
Dy 0.750 0.250 0.500

Values from the calculation:
For the total DFT energy (no corrections), the calculation gives -4.1115 eV per atom. For the excess energy over the best structure of this formula in the dataset, the calculation gives 0 meV/atom. The value obtained for the energy relative to the elements is -0.49 eV per atom.


(2)
Material: LiDy2Pt
Method: DFT, PBE
State: relaxed

a b c (Å): 3.676 4.870 4.870
angles (deg): 90.00 90.00 90.00
Sites, in units of the cell vectors:
Pt 0.500 0.000 0.000
Dy 0.000 0.500 0.000
Li 0.500 0.500 0.500
Dy 0.000 0.000 0.500

Values from the calculation:
For the total DFT energy (no corrections), the calculation gives -4.9294 eV per atom. The value obtained for the energy relative to the elements is -0.64 eV per atom.


(3)
Material: LiDy2Pt4
Method: DFT, PBE
State: relaxed

a b c (Å): 6.055 6.055 5.821
angles (deg): 121.33 121.33 90.01
Sites, in units of the cell vectors:
Pt 0.723 0.277 0.000
Dy 0.250 0.750 0.500
Li 0.000 0.000 0.000
Pt 0.723 0.723 0.000
Dy 0.750 0.250 0.500
Pt 0.277 0.277 0.000
Pt 0.277 0.723 0.000

Values from the calculation:
For the total DFT energy (no corrections), the calculation gives -5.8542 eV per atom. For the excess energy over the best structure of this formula in the dataset, the calculation gives 19 meV/atom. The value obtained for the energy relative to the elements is -0.81 eV per atom.


(4)
Material: LiDyPt2
Method: DFT, PBE
State: relaxed

a b c (Å): 3.475 3.475 5.875
angles (deg): 90.00 90.00 90.00
Sites, in units of the cell vectors:
Pt 0.000 0.000 0.232
Li 0.500 0.500 0.000
Dy 0.500 0.500 0.500
Pt 0.000 0.000 0.768

Values from the calculation:
For the total DFT energy (no corrections), the calculation gives -5.6208 eV per atom. The value obtained for the energy relative to the elements is -0.97 eV per atom.


(5)
Material: LiDyPt4
Method: DFT, PBE
State: relaxed

a b c (Å): 5.348 5.348 5.348
angles (deg): 60.00 60.00 60.00
Sites, in units of the cell vectors:
Pt 0.625 0.625 0.124
Pt 0.124 0.625 0.625
Pt 0.625 0.625 0.625
Dy 0.250 0.250 0.250
Li 0.000 0.000 0.000
Pt 0.625 0.124 0.625

Values from the calculation:
For the total DFT energy (no corrections), the calculation gives -5.9859 eV per atom. The value obtained for the energy relative to the elements is -0.87 eV per atom.


(6)
Material: Li4Dy3Pt4
Method: DFT, PBE
State: relaxed

a b c (Å): 3.961 7.458 8.131
angles (deg): 117.30 104.10 90.00
Sites, in units of the cell vectors:
Pt 0.500 0.803 0.000
Li 0.676 0.484 0.352
Li 0.324 0.516 0.648
Dy 0.877 0.877 0.753
Pt 0.224 0.724 0.447
Dy 0.123 0.123 0.247
Pt 0.776 0.276 0.553
Li 0.676 0.869 0.352
Pt 0.500 0.197 0.000
Li 0.324 0.131 0.648
Dy 0.000 0.500 0.000

Values from the calculation:
For the total DFT energy (no corrections), the calculation gives -4.9640 eV per atom. The value obtained for the energy relative to the elements is -0.82 eV per atom.


(7)
Material: LiDyPuPt
Method: DFT, PBE
State: relaxed

a b c (Å): 4.974 4.974 4.974
angles (deg): 60.00 60.00 60.00
Site moments in Bohr magnetons follow the coordinates.
Sites, in units of the cell vectors:
Li 0.000 0.000 0.000  0.04
Pt 0.500 0.500 0.500  -0.06
Dy 0.250 0.250 0.250  0.13
Pu 0.750 0.750 0.750  5.33

Values from the calculation:
For the total DFT energy (no corrections), the calculation gives -7.1816 eV per atom. The value obtained for the energy relative to the elements is -0.46 eV per atom.


(8)
Material: LiDyPtRh
Method: DFT, PBE
State: relaxed

a b c (Å): 4.604 4.604 4.604
angles (deg): 60.00 60.00 60.00
Sites, in units of the cell vectors:
Li 0.500 0.500 0.500
Rh 0.250 0.250 0.250
Pt 0.750 0.750 0.750
Dy 0.000 0.000 0.000

Values from the calculation:
For the total DFT energy (no corrections), the calculation gives -5.6976 eV per atom. For the excess energy over the best structure of this formula in the dataset, the calculation gives 35 meV/atom. The value obtained for the energy relative to the elements is -0.72 eV per atom.


(9)
Material: LiDyPtRh
Method: DFT, PBE
State: relaxed

a b c (Å): 3.798 4.123 4.329
angles (deg): 90.00 90.00 90.00
Sites, in units of the cell vectors:
Dy 0.500 0.000 0.500
Li 0.500 0.500 0.000
Rh 0.000 0.500 0.500
Pt 0.000 0.000 0.000

Values from the calculation:
For the total DFT energy (no corrections), the calculation gives -5.7330 eV per atom. For the excess energy over the best structure of this formula in the dataset, the calculation gives 0 meV/atom. The value obtained for the energy relative to the elements is -0.76 eV per atom.


(10)
Material: LiDySc2Pt4
Method: DFT, PBE
State: relaxed

a b c (Å): 4.584 4.584 8.413
angles (deg): 74.19 74.19 60.00
Sites, in units of the cell vectors:
Pt 0.124 0.124 0.627
Sc 0.761 0.761 0.716
Pt 0.390 0.390 0.830
Pt 0.876 0.876 0.373
Li 0.500 0.500 0.500
Pt 0.610 0.610 0.170
Dy 0.000 0.000 0.000
Sc 0.239 0.239 0.284

Values from the calculation:
For the total DFT energy (no corrections), the calculation gives -6.5000 eV per atom. The value obtained for the energy relative to the elements is -1.08 eV per atom.


(11)
Material: LiDy2Si4Pt3
Method: DFT, PBE
State: relaxed

a b c (Å): 4.135 4.135 10.082
angles (deg): 90.00 90.00 90.00
Sites, in units of the cell vectors:
Dy 0.000 0.500 0.748
Si 0.000 0.500 0.364
Pt 0.000 0.500 0.125
Li 0.500 0.500 0.500
Pt 0.000 0.000 0.500
Dy 0.500 0.000 0.252
Si 0.500 0.500 0.000
Pt 0.500 0.000 0.875
Si 0.000 0.000 0.000
Si 0.500 0.000 0.636

Values from the calculation:
The calculation puts the uncorrected formation energy at -0.99 eV/atom. For the total DFT energy (no corrections), the calculation gives -6.0811 eV per atom.


(12)
Material: LiDy2Si3Pt4
Method: DFT, PBE
State: relaxed

a b c (Å): 4.168 4.168 9.945
angles (deg): 90.00 90.00 90.00
Sites, in units of the cell vectors:
Si 0.000 0.000 0.500
Li 0.500 0.500 0.500
Pt 0.000 0.500 0.371
Dy 0.000 0.500 0.746
Pt 0.500 0.500 0.000
Si 0.500 0.000 0.865
Pt 0.500 0.000 0.629
Si 0.000 0.500 0.135
Pt 0.000 0.000 0.000
Dy 0.500 0.000 0.254

Values from the calculation:
The calculation puts the uncorrected formation energy at -1.07 eV/atom. For the total DFT energy (no corrections), the calculation gives -6.2236 eV per atom.


(13)
Material: LiDy2SiPt6
Method: DFT, PBE
State: relaxed

a b c (Å): 5.595 7.782 5.595
angles (deg): 69.12 59.94 90.03
Sites, in units of the cell vectors:
Dy 0.795 0.387 0.409
Dy 0.205 0.613 0.591
Pt 0.735 0.234 0.016
Si 0.000 0.000 0.000
Pt 0.249 0.235 0.015
Pt 0.249 0.234 0.501
Pt 0.751 0.765 0.985
Pt 0.751 0.766 0.499
Pt 0.265 0.766 0.984
Li 0.500 0.500 0.000

Values from the calculation:
The calculation puts the uncorrected formation energy at -0.88 eV/atom. For the total DFT energy (no corrections), the calculation gives -6.1549 eV per atom.


(14)
Material: LiDy2Si3Pt12
Method: DFT, PBE
State: relaxed

a b c (Å): 7.473 7.473 7.473
angles (deg): 67.07 67.07 67.07
Sites, in units of the cell vectors:
Pt 0.642 0.642 0.106
Dy 0.613 0.613 0.613
Pt 0.358 0.894 0.358
Pt 0.135 0.135 0.630
Pt 0.106 0.642 0.642
Si 0.000 0.500 0.000
Pt 0.135 0.630 0.135
Li 0.000 0.000 0.000
Pt 0.358 0.358 0.894
Pt 0.865 0.865 0.370
Pt 0.642 0.106 0.642
Si 0.000 0.000 0.500
Pt 0.865 0.370 0.865
Dy 0.387 0.387 0.387
Pt 0.894 0.358 0.358
Pt 0.630 0.135 0.135
Pt 0.370 0.865 0.865
Si 0.500 0.000 0.000

Values from the calculation:
The calculation puts the uncorrected formation energy at -0.54 eV/atom. For the total DFT energy (no corrections), the calculation gives -6.0903 eV per atom.


(15)
Material: LiDySi2Pt
Method: DFT, PBE
State: relaxed

a b c (Å): 3.997 3.997 5.934
angles (deg): 109.68 109.68 90.00
Sites, in units of the cell vectors:
Li 0.250 0.750 0.500
Si 0.388 0.388 0.776
Dy 0.000 0.000 0.000
Si 0.612 0.612 0.224
Pt 0.750 0.250 0.500

Values from the calculation:
The calculation puts the uncorrected formation energy at -0.90 eV/atom. For the total DFT energy (no corrections), the calculation gives -5.5818 eV per atom.


(16)
Material: LiDySnPt
Method: DFT, PBE
State: relaxed

a b c (Å): 4.756 4.756 4.756
angles (deg): 60.00 60.00 60.00
Sites, in units of the cell vectors:
Li 0.250 0.250 0.250
Sn 0.500 0.500 0.500
Pt 0.750 0.750 0.750
Dy 0.000 0.000 0.000

Values from the calculation:
For the total DFT energy (no corrections), the calculation gives -5.0646 eV per atom. The value obtained for the energy relative to the elements is -0.92 eV per atom.


(17)
Material: LiDySn2Pt4
Method: DFT, PBE
State: relaxed

a b c (Å): 4.518 4.518 8.687
angles (deg): 74.93 74.93 60.00
Sites, in units of the cell vectors:
Sn 0.757 0.757 0.728
Li 0.500 0.500 0.500
Pt 0.131 0.131 0.606
Pt 0.603 0.603 0.192
Pt 0.397 0.397 0.808
Sn 0.243 0.243 0.272
Pt 0.869 0.869 0.394
Dy 0.000 0.000 0.000

Values from the calculation:
For the total DFT energy (no corrections), the calculation gives -5.5996 eV per atom. The value obtained for the energy relative to the elements is -0.76 eV per atom.


(18)
Material: LiDyThPt
Method: DFT, PBE
State: relaxed

a b c (Å): 5.076 5.076 5.076
angles (deg): 60.00 60.00 60.00
Sites, in units of the cell vectors:
Li 0.000 0.000 0.000
Dy 0.750 0.750 0.750
Th 0.250 0.250 0.250
Pt 0.500 0.500 0.500

Values from the calculation:
For the total DFT energy (no corrections), the calculation gives -5.4884 eV per atom. The value obtained for the energy relative to the elements is -0.49 eV per atom.


(19)
Material: LiDyTm2Pt4
Method: DFT, PBE
State: relaxed

a b c (Å): 4.802 4.802 8.275
angles (deg): 73.13 73.13 60.00
Sites, in units of the cell vectors:
Pt 0.878 0.878 0.367
Li 0.500 0.500 0.500
Dy 0.000 0.000 0.000
Pt 0.122 0.122 0.633
Tm 0.757 0.757 0.728
Tm 0.243 0.243 0.272
Pt 0.625 0.625 0.125
Pt 0.375 0.375 0.875

Values from the calculation:
For the total DFT energy (no corrections), the calculation gives -6.0678 eV per atom. The value obtained for the energy relative to the elements is -1.12 eV per atom.


(20)
Material: LiDyYPt
Method: DFT, PBE
State: relaxed

a b c (Å): 4.986 4.986 4.986
angles (deg): 60.00 60.00 60.00
Sites, in units of the cell vectors:
Li 0.250 0.250 0.250
Dy 0.000 0.000 0.000
Pt 0.750 0.750 0.750
Y 0.500 0.500 0.500

Values from the calculation:
For the total DFT energy (no corrections), the calculation gives -5.4208 eV per atom. The value obtained for the energy relative to the elements is -0.67 eV per atom.